Record 1
First-principles (PBE) data for a relaxed Y4Ge2H crystal, as listed in Alexandria.

As for the total energy: -85.20 eV for the cell shown. Its total magnetization is 0.000 μB per atom.

Unit cell a=14.759 b=3.845 c=5.727 alpha=90.00 beta=102.02 gamma=90.00
Space group C2/m (No. 12)
Inequivalent atoms, fractional coordinates:
Y: 0.072 0.000 0.289 (multiplicity 4)
Y: 0.144 0.500 0.825 (multiplicity 4)
Ge: 0.228 0.500 0.344 (multiplicity 4)
H: 0.000 0.500 0.000 (multiplicity 2)

---

Record 2
First-principles (PBE) data for a relaxed Al3SiF crystal, as listed in Alexandria.

As for the total energy: -17.15 eV for the cell shown. Its total magnetization is 0.000 μB per atom. Its formation energy (no corrections) is 1.37 eV/f.u.

Unit cell a=4.893 b=4.893 c=4.893 alpha=90.00 beta=90.00 gamma=90.00
Space group Pm-3m (No. 221)
Inequivalent atoms, fractional coordinates:
Al: 0.000 0.000 0.500 (multiplicity 3)
Si: 0.000 0.000 0.000 (multiplicity 1)
F: 0.500 0.500 0.500 (multiplicity 1)

---

Record 3
First-principles (PBE) data for a relaxed La2ScTcPb crystal, as listed in Alexandria.

As for the total energy: -31.16 eV for the cell shown. The formation energy is -0.180 eV/atom. Its total magnetization is 0.000 μB per atom.

Unit cell a=5.381 b=5.381 c=5.156 alpha=90.00 beta=90.00 gamma=90.00
Space group P4/mmm (No. 123)
Inequivalent atoms, fractional coordinates:
La: 0.000 0.500 0.000 (multiplicity 2)
Sc: 0.000 0.000 0.500 (multiplicity 1)
Tc: 0.000 0.000 0.000 (multiplicity 1)
Pb: 0.500 0.500 0.500 (multiplicity 1)

---

What is the total energy in the second record? -17.15 eV for the cell shown